No. 1
Here is an optimized crystal structure of HfBi2H from Alexandria via LeMat-Bulk. Energies are from PBE-GGA.

Output
Uncorrected energy in eV per atom: -4.93
D(E_F) in states/eV/f.u.: 1.5
SG: I-42d (122)
Relative energy among the computed polymorphs in meV/atom: 598
Crystal system: tetragonal
Spin magnetization in μB/f.u.: 0.00

```
data_HfBi2H
_space_group_name_H-M_alt 'P 1'
_space_group_IT_number 1
_space_group_name_Hall 'P 1'
_cell_length_a 6.946
_cell_length_b 6.946
_cell_length_c 6.072
_cell_angle_alpha 55.12
_cell_angle_beta 55.12
_cell_angle_gamma 90.00
loop_
_atom_site_label
_atom_site_type_symbol
_atom_site_fract_x
_atom_site_fract_y
_atom_site_fract_z
H1 H 0.500 0.500 0.000
H2 H 0.250 0.750 0.500
Hf1 Hf 0.000 0.000 0.000
Hf2 Hf 0.750 0.250 0.500
Bi1 Bi 0.538 0.125 0.250
Bi2 Bi 0.212 0.625 0.250
Bi3 Bi 0.375 0.462 0.750
Bi4 Bi 0.875 0.788 0.750
```

No. 2
Here is an optimized crystal structure of Pm2ThPaN4 from Alexandria via LeMat-Bulk. Energies are from PBE-GGA.

Output
Uncorrected energy in eV per atom: -9.04
Uncorrected formation energy in eV/f.u.: -12.57
D(E_F) in states/eV/f.u.: 4.0
SG: P2/m (10)
Crystal system: monoclinic
Spin magnetization in μB/f.u.: 0.00

```
data_Pm2ThPaN4
_space_group_name_H-M_alt 'P 1'
_space_group_IT_number 1
_space_group_name_Hall 'P 1'
_cell_length_a 3.601
_cell_length_b 6.255
_cell_length_c 6.209
_cell_angle_alpha 109.44
_cell_angle_beta 90.00
_cell_angle_gamma 90.00
loop_
_atom_site_label
_atom_site_type_symbol
_atom_site_fract_x
_atom_site_fract_y
_atom_site_fract_z
Pm1 Pm 0.500 0.000 0.500
Pm2 Pm 0.000 0.500 0.500
Th1 Th 0.500 0.500 0.000
Pa1 Pa 0.000 0.000 0.000
N1 N 0.500 0.226 0.222
N2 N 0.500 0.774 0.778
N3 N 0.000 0.239 0.772
N4 N 0.000 0.761 0.228
```

No. 3
Here is an optimized crystal structure of MgCoPb2 from Alexandria via LeMat-Bulk. Energies are from PBE-GGA.

Output
Uncorrected energy in eV per atom: -3.77
ΔE_f in eV per atom: 0.26
D(E_F) in states/eV/f.u.: 2.6
SG: P4/mmm (123)
Crystal system: tetragonal
Spin magnetization in μB/f.u.: 0.72

```
data_MgCoPb2
_space_group_name_H-M_alt 'P 1'
_space_group_IT_number 1
_space_group_name_Hall 'P 1'
_cell_length_a 3.325
_cell_length_b 3.325
_cell_length_c 8.010
_cell_angle_alpha 90.00
_cell_angle_beta 90.00
_cell_angle_gamma 90.00
loop_
_atom_site_label
_atom_site_type_symbol
_atom_site_fract_x
_atom_site_fract_y
_atom_site_fract_z
Co1 Co 0.500 0.500 0.250
Mg1 Mg 0.500 0.500 0.750
Pb1 Pb 0.000 0.000 0.044
Pb2 Pb 0.000 0.000 0.456
```

No. 4
Here is an optimized crystal structure of BaNa3Li from Alexandria via LeMat-Bulk. Energies are from PBE-GGA.

Output
Uncorrected energy in eV per atom: -1.52
ΔE_f in eV per atom: 0.04
D(E_F) in states/eV/f.u.: 3.8
SG: Cmcm (63)
Relative energy among the computed polymorphs in meV/atom: 0
Crystal system: orthorhombic
Spin magnetization in μB/f.u.: 0.00

```
data_BaNa3Li
_space_group_name_H-M_alt 'P 1'
_space_group_IT_number 1
_space_group_name_Hall 'P 1'
_cell_length_a 6.563
_cell_length_b 7.569
_cell_length_c 8.794
_cell_angle_alpha 115.49
_cell_angle_beta 90.00
_cell_angle_gamma 90.00
loop_
_atom_site_label
_atom_site_type_symbol
_atom_site_fract_x
_atom_site_fract_y
_atom_site_fract_z
Ba1 Ba 0.250 0.409 0.818
Ba2 Ba 0.750 0.591 0.182
Na1 Na 0.250 0.817 0.634
Na2 Na 0.750 0.183 0.366
Na3 Na 0.250 0.378 0.297
Na4 Na 0.750 0.622 0.703
Na5 Na 0.250 0.919 0.297
Na6 Na 0.750 0.081 0.703
Li1 Li 0.000 0.000 0.000
Li2 Li 0.500 0.000 0.000
```

No. 5
Here is an optimized crystal structure of Ac8Ni4Ir from Alexandria via LeMat-Bulk. Energies are from PBE-GGA.

Output
Uncorrected energy in eV per atom: -5.20
ΔE_f in eV per atom: -0.21
D(E_F) in states/eV/f.u.: 11.7
SG: Cm (8)
Crystal system: monoclinic
Spin magnetization in μB/f.u.: 0.00

```
data_Ac8Ni4Ir
_space_group_name_H-M_alt 'P 1'
_space_group_IT_number 1
_space_group_name_Hall 'P 1'
_cell_length_a 4.174
_cell_length_b 9.594
_cell_length_c 10.875
_cell_angle_alpha 83.16
_cell_angle_beta 78.94
_cell_angle_gamma 77.44
loop_
_atom_site_label
_atom_site_type_symbol
_atom_site_fract_x
_atom_site_fract_y
_atom_site_fract_z
Ac1 Ac 0.205 0.368 0.222
Ac2 Ac 0.530 0.300 0.640
Ac3 Ac 0.478 0.650 0.394
Ac4 Ac 0.803 0.604 0.789
Ac5 Ac 0.929 0.187 0.954
Ac6 Ac 0.196 0.933 0.674
Ac7 Ac 0.089 0.772 0.049
Ac8 Ac 0.801 0.038 0.360
Ni1 Ni 0.304 0.448 0.945
Ni2 Ni 0.847 0.777 0.529
Ni3 Ni 0.159 0.200 0.482
Ni4 Ni 0.712 0.511 0.064
Ir1 Ir 0.591 0.943 0.875
```

No. 6
Here is an optimized crystal structure of CsZrIn2Br8 from Alexandria via LeMat-Bulk. Energies are from PBE-GGA.

Output
Uncorrected energy in eV per atom: -3.51
Uncorrected formation energy in eV/f.u.: -13.89
D(E_F) in states/eV/f.u.: 4.7
SG: P-1 (2)
Crystal system: triclinic
Spin magnetization in μB/f.u.: 0.00

```
data_CsZrIn2Br8
_space_group_name_H-M_alt 'P 1'
_space_group_IT_number 1
_space_group_name_Hall 'P 1'
_cell_length_a 7.615
_cell_length_b 7.727
_cell_length_c 11.813
_cell_angle_alpha 49.21
_cell_angle_beta 89.16
_cell_angle_gamma 88.85
loop_
_atom_site_label
_atom_site_type_symbol
_atom_site_fract_x
_atom_site_fract_y
_atom_site_fract_z
Cs1 Cs 0.000 0.000 0.500
Zr1 Zr 0.000 0.000 0.000
In1 In 0.500 0.256 0.742
In2 In 0.500 0.744 0.258
Br1 Br 0.155 0.599 0.214
Br2 Br 0.724 0.796 0.002
Br3 Br 0.841 0.992 0.206
Br4 Br 0.845 0.401 0.786
Br5 Br 0.276 0.204 0.998
Br6 Br 0.159 0.008 0.794
Br7 Br 0.400 0.730 0.502
Br8 Br 0.600 0.270 0.498
```

No. 7
Here is an optimized crystal structure of DyAl4Cu4 from Alexandria via LeMat-Bulk. Energies are from PBE-GGA.

Output
Uncorrected energy in eV per atom: -4.17
ΔE_f in eV per atom: -0.17
D(E_F) in states/eV/f.u.: 2.4
SG: I4/m (87)
Crystal system: tetragonal
Spin magnetization in μB/f.u.: 0.00

```
data_DyAl4Cu4
_space_group_name_H-M_alt 'P 1'
_space_group_IT_number 1
_space_group_name_Hall 'P 1'
_cell_length_a 4.375
_cell_length_b 8.184
_cell_length_c 8.184
_cell_angle_alpha 90.00
_cell_angle_beta 90.00
_cell_angle_gamma 90.00
loop_
_atom_site_label
_atom_site_type_symbol
_atom_site_fract_x
_atom_site_fract_y
_atom_site_fract_z
Dy1 Dy 0.000 0.000 0.000
Dy2 Dy 0.500 0.500 0.500
Al1 Al 0.500 0.402 0.872
Al2 Al 0.000 0.628 0.902
Al3 Al 0.500 0.598 0.128
Al4 Al 0.000 0.098 0.628
Al5 Al 0.500 0.872 0.598
Al6 Al 0.000 0.902 0.372
Al7 Al 0.000 0.372 0.098
Al8 Al 0.500 0.128 0.402
Cu1 Cu 0.500 0.880 0.219
Cu2 Cu 0.500 0.120 0.781
Cu3 Cu 0.000 0.719 0.620
Cu4 Cu 0.000 0.380 0.719
Cu5 Cu 0.000 0.620 0.281
Cu6 Cu 0.500 0.219 0.120
Cu7 Cu 0.500 0.781 0.880
Cu8 Cu 0.000 0.281 0.380
```

No. 8
Here is an optimized crystal structure of Li3Ga2Pt2 from Alexandria via LeMat-Bulk. Energies are from PBE-GGA.

Output
Uncorrected energy in eV per atom: -4.09
ΔE_f in eV per atom: -0.68
D(E_F) in states/eV/f.u.: 2.5
SG: C2/m (12)
Relative energy among the computed polymorphs in meV/atom: 0
Crystal system: monoclinic
Spin magnetization in μB/f.u.: 0.00

```
data_Li3Ga2Pt2
_space_group_name_H-M_alt 'P 1'
_space_group_IT_number 1
_space_group_name_Hall 'P 1'
_cell_length_a 4.321
_cell_length_b 4.321
_cell_length_c 6.692
_cell_angle_alpha 89.77
_cell_angle_beta 109.00
_cell_angle_gamma 120.14
loop_
_atom_site_label
_atom_site_type_symbol
_atom_site_fract_x
_atom_site_fract_y
_atom_site_fract_z
Li1 Li 0.000 0.000 0.000
Li2 Li 0.714 0.857 0.571
Li3 Li 0.286 0.143 0.429
Ga1 Ga 0.438 0.719 0.157
Ga2 Ga 0.562 0.281 0.843
Pt1 Pt 0.158 0.579 0.737
Pt2 Pt 0.842 0.421 0.263
```